(1)
Material: TcAsW2
Method: DFT, GGA-PBE
State: relaxed

```
data_TcAsW2
_chemical_formula_sum 'Tc2 As2 W4'
_symmetry_space_group_name_H-M 'C 1 2/m 1'
_symmetry_Int_Tables_number 12
_cell_length_a 5.397
_cell_length_b 8.657
_cell_length_c 2.855
_cell_angle_alpha 90.00
_cell_angle_beta 109.78
_cell_angle_gamma 90.00
loop_
_symmetry_equiv_pos_as_xyz
'x,y,z'
'-x,-y,-z'
'-x,y,-z'
'x,-y,z'
'x+1/2,y+1/2,z'
'-x+1/2,-y+1/2,-z'
'-x+1/2,y+1/2,-z'
'x+1/2,-y+1/2,z'
loop_
_atom_site_label
_atom_site_fract_x
_atom_site_fract_y
_atom_site_fract_z
Tc1 0.000 0.000 0.000
As1 0.000 0.500 0.000
W1 0.250 0.250 0.500
```

(2)
# Mg3NiW | Alexandria via LeMat-Bulk | GGA-PBE | relaxed
# * ΔE to the lowest computed polymorph: 0.000 eV/f.u.
data_Mg3NiW
_chemical_formula_sum 'Mg3 Ni1 W1'
_symmetry_space_group_name_H-M 'P m -3 m'
_symmetry_Int_Tables_number 221
_symmetry_space_group_name_Hall '-P 4 2 3'
_cell_length_a 4.630
_cell_length_b 4.630
_cell_length_c 4.630
_cell_angle_alpha 90.00
_cell_angle_beta 90.00
_cell_angle_gamma 90.00
loop_
_atom_site_label
_atom_site_fract_x
_atom_site_fract_y
_atom_site_fract_z
Mg1 0.000 0.000 0.500
Ni1 0.000 0.000 0.000
W1 0.500 0.500 0.500

Number 1: ΔH_f (0 K) 0.40 eV per atom, density of states at the Fermi level 4.57 states/eV/f.u.. Number 2: ΔH_f (0 K) 0.98 eV per atom, density of states at the Fermi level 3.05 states/eV/f.u..